(1)
Material: Y3Co
Method: DFT, PBE
State: optimized geometry

POSCAR file:
```
Y3Co
1.0
-6.583 -0.908 1.012
2.845 -2.114 -5.712
1.928 -9.137 4.341
Y Co
12 4
Direct
0.500 0.000 0.500
0.156 0.313 0.750
0.000 0.500 0.500
0.500 0.500 0.500
0.687 0.844 0.750
0.844 0.687 0.250
0.500 0.500 0.000
0.156 0.844 0.750
0.000 0.500 0.000
0.500 0.000 0.000
0.844 0.156 0.250
0.313 0.156 0.250
0.000 0.000 0.000
0.000 0.000 0.500
0.667 0.333 0.750
0.333 0.667 0.250
```

Summary:
space group = P6_3/mmc
N(E_F) = 6.174 states/eV/f.u.
ΔE_f = 251 meV/atom


(2)
Material: NaAc3Ag8
Method: DFT, PBE
State: optimized geometry

POSCAR file:
```
NaAc3Ag8
1.0
5.942 0.000 0.000
-2.971 5.146 0.000
0.000 0.000 9.562
Ag Na Ac
8 1 3
Direct
0.669 0.835 0.252
0.165 0.835 0.252
0.499 0.501 0.748
0.333 0.667 0.503
0.002 0.501 0.748
0.499 0.998 0.748
0.165 0.331 0.252
0.333 0.667 0.003
0.000 0.000 0.555
0.667 0.333 0.452
0.667 0.333 0.058
0.000 0.000 0.928
```

Summary:
space group = P3m1
N(E_F) = 8.049 states/eV/f.u.
ΔE_f = -172 meV/atom


(3)
Material: MnCoNiSb
Method: DFT, PBE
State: optimized geometry

POSCAR file:
```
MnCoNiSb
1.0
4.260 0.000 0.000
2.130 3.689 0.000
2.130 1.230 3.478
Mn Ni Co Sb
1 1 1 1
Direct
0.000 0.000 0.000
0.250 0.250 0.250
0.750 0.750 0.750
0.500 0.500 0.500
```

Summary:
space group = F-43m
energy relative to the elements, uncorrected = -0.058 eV per atom
N(E_F) = 4.039 states/eV/f.u.


(4)
Material: La6TcHg2N
Method: DFT, PBE
State: optimized geometry

POSCAR file:
```
La6TcHg2N
1.0
-0.879 7.516 -0.202
-7.186 -1.082 -1.010
3.420 -3.290 5.901
N Hg La Tc
1 2 6 1
Direct
0.001 0.013 0.010
0.730 0.232 0.501
0.269 0.758 0.488
0.193 0.699 0.996
0.762 0.836 0.078
0.702 0.695 0.506
0.232 0.138 0.901
0.803 0.283 0.994
0.289 0.289 0.479
0.518 0.562 0.044
```

Summary:
space group = P1
energy relative to the elements, uncorrected = -0.411 eV per atom
N(E_F) = 7.672 states/eV/f.u.


(5)
Material: HoSc2Bi4
Method: DFT, PBE
State: optimized geometry

POSCAR file:
```
HoSc2Bi4
1.0
-2.175 3.128 2.186
-3.798 -3.867 -2.658
0.093 -9.290 13.383
Ho Sc Bi
2 4 8
Direct
0.568 0.135 0.750
0.432 0.865 0.250
0.155 0.309 0.073
0.845 0.691 0.573
0.155 0.309 0.427
0.845 0.691 0.927
0.859 0.718 0.750
0.837 0.674 0.381
0.500 0.000 0.000
0.163 0.326 0.619
0.163 0.326 0.881
0.500 0.000 0.500
0.837 0.674 0.119
0.141 0.282 0.250
```

Summary:
space group = Cmcm
N(E_F) = 3.053 states/eV/f.u.
ΔE_f = -501 meV/atom


(6)
Material: EuAl2Zn2
Method: DFT, PBE
State: optimized geometry

POSCAR file:
```
EuAl2Zn2
1.0
4.227 0.001 0.000
0.001 4.227 0.000
-2.114 -2.114 5.569
Al Eu Zn
2 1 2
Direct
0.750 0.250 0.500
0.250 0.750 0.500
0.000 0.000 0.000
0.612 0.612 0.224
0.388 0.388 0.776
```

Summary:
space group = I4/mmm
N(E_F) = 3.281 states/eV/f.u.
ΔE_f = -337 meV/atom